Here is an optimized crystal structure of Zn3Ga8 from the Alexandria database. Energies are from PBE.

## Properties
- symmetry = No. 166
- formation energy (eV per atom) = 0.056

POSCAR file:
```
Zn3Ga8
1.0
5.9508 -0.1593 -0.1554
-0.0082 5.9529 -0.1554
-0.0082 -0.0080 5.9550
Zn Ga
3 8
Direct
0.5000 0.0000 0.5000 Zn
0.0000 0.5000 0.5000 Zn
0.5000 0.5000 0.0000 Zn
0.7661 0.2251 0.2252 Ga
0.2251 0.2252 0.7661 Ga
0.2252 0.7661 0.2251 Ga
0.2372 0.2372 0.2372 Ga
0.7628 0.7628 0.7628 Ga
0.7748 0.2339 0.7749 Ga
0.7749 0.7748 0.2339 Ga
0.2339 0.7749 0.7748 Ga
```

Here is an optimized crystal structure of CsU4PbN8 from the Alexandria database. Energies are from PBE.

## Properties
- formation energy (no corrections) (meV/atom) = -946
- symmetry = No. 160

POSCAR file:
```
CsU4PbN8
1.0
7.0343 0.0000 0.0000
3.5171 6.0919 0.0000
3.5171 2.0306 7.7954
Cs U Pb N
1 4 1 8
Direct
0.3463 0.3463 0.9610 Cs
0.5062 0.5062 0.4813 U
0.0100 0.5133 0.4666 U
0.5133 0.0100 0.4666 U
0.0100 0.0100 0.4666 U
0.0635 0.0635 0.8096 Pb
0.2876 0.8146 0.6103 N
0.8146 0.2876 0.6103 N
0.2876 0.2876 0.6103 N
0.2156 0.2156 0.3531 N
0.7084 0.2212 0.3620 N
0.2212 0.7084 0.3620 N
0.7084 0.7084 0.3620 N
0.8073 0.8073 0.5781 N
```

Here is an optimized crystal structure of YTa2Cd from the Alexandria database. Energies are from PBE.

## Properties
- symmetry = No. 10
- formation energy (eV per atom) = 0.370

POSCAR file:
```
YTa2Cd
1.0
-4.5365 2.7770 0.0718
-0.3456 -0.6411 2.9627
2.6588 4.2964 1.8164
Cd Ta Y
1 2 1
Direct
0.5000 0.7500 0.7500 Cd
0.0000 0.8871 0.9965 Ta
0.0000 0.6129 0.5035 Ta
0.5000 0.2500 0.2500 Y
```

Here is an optimized crystal structure of V4SbS8 from the Alexandria database. Energies are from PBE.

## Properties
- formation energy (no corrections) (meV/atom) = -753
- symmetry = No. 216

POSCAR file:
```
V4SbS8
1.0
-4.8259 2.5016 -4.4210
-3.9627 -4.4168 -3.7258
-6.8112 -0.7004 1.4865
V Sb S
4 1 8
Direct
0.9414 0.3529 0.3529 V
0.3529 0.9414 0.3529 V
0.3529 0.3529 0.9414 V
0.3529 0.3529 0.3529 V
0.7500 0.7500 0.7500 Sb
0.6309 0.1230 0.1230 S
0.1230 0.6309 0.1230 S
0.1230 0.1230 0.6309 S
0.1230 0.1230 0.1230 S
0.1852 0.6049 0.6049 S
0.6049 0.1852 0.6049 S
0.6049 0.6049 0.1852 S
0.6049 0.6049 0.6049 S
```